*a*
First-principles (PBE) data for an optimized crystal structure of CrIr2Os, as listed in Alexandria via LeMat-Bulk.

Output
For the magnetization, the calculation gives 0.00 μB/cell. The space group is R-3m.

The structure in POSCAR format:
```
CrIr2Os
1.0
8.826 -0.017 -0.010
8.412 2.669 -0.010
8.412 1.294 2.334
Ir Os Cr
2 1 1
direct
0.003 0.003 0.003 Ir
0.497 0.497 0.497 Ir
0.250 0.250 0.250 Os
0.750 0.750 0.750 Cr
```


*b*
First-principles (PBE) data for an optimized crystal structure of CrIr2Os, as listed in Alexandria via LeMat-Bulk.

Output
For the magnetization, the calculation gives 0.92 μB/cell. The space group is I4/mmm.

The structure in POSCAR format:
```
CrIr2Os
1.0
4.681 0.004 -0.003
1.586 4.404 0.003
-3.132 -2.207 2.692
Ir Os Cr
2 1 1
direct
0.000 0.000 0.000 Ir
0.500 0.500 0.000 Ir
0.750 0.250 0.500 Os
0.250 0.750 0.500 Cr
```


Which of them is most stable, and which least? Most stable: *b*; least stable: *a*.


*a*
First-principles (PBE) data for an optimized crystal structure of CrIr2Os, as listed in Alexandria via LeMat-Bulk.

Output
For the magnetization, the calculation gives 1.32 μB/cell. The space group is C2/m.

The structure in POSCAR format:
```
CrIr2Os
1.0
-4.596 -0.842 -0.447
-3.991 -1.176 2.174
-1.679 4.236 0.927
Os Cr Ir
1 1 2
direct
0.750 0.750 0.750 Os
0.250 0.250 0.250 Cr
0.999 0.999 0.002 Ir
0.501 0.501 0.498 Ir
```


*b*
First-principles (PBE) data for an optimized crystal structure of CrIr2Os, as listed in Alexandria via LeMat-Bulk.

Output
For the magnetization, the calculation gives 0.80 μB/cell. The space group is I-4m2.

The structure in POSCAR format:
```
CrIr2Os
1.0
-2.400 2.928 -2.720
-1.470 -2.289 -3.785
-0.344 -0.989 4.542
Ir Os Cr
2 1 1
direct
0.000 0.000 0.000 Ir
0.750 0.250 0.500 Ir
0.500 0.500 0.000 Os
0.250 0.750 0.500 Cr
```


Which of them is most stable, and which least? Most stable: *b*; least stable: *a*.